Here is TaZnPb2 after structural relaxation from the Alexandria database. Energies are from GGA-PBEsol.

```
data_TaZnPb2
_chemical_formula_sum 'Ta2 Zn2 Pb4'
_cell_length_a 4.234
_cell_length_b 4.511
_cell_length_c 9.382
_cell_angle_alpha 90.00
_cell_angle_beta 90.00
_cell_angle_gamma 90.00
_symmetry_space_group_name_H-M 'C m m 2'
_symmetry_Int_Tables_number 35
loop_
_symmetry_equiv_pos_as_xyz
'x,y,z'
'-x,-y,z'
'-x,y,z'
'x,-y,z'
'x+1/2,y+1/2,z'
'-x+1/2,-y+1/2,z'
'-x+1/2,y+1/2,z'
'x+1/2,-y+1/2,z'
loop_
_atom_site_label
_atom_site_type_symbol
_atom_site_fract_x
_atom_site_fract_y
_atom_site_fract_z
Ta1 Ta 0.000 0.000 0.000
Zn1 Zn 0.000 0.500 0.179
Pb1 Pb 0.000 0.000 0.409
Pb2 Pb 0.000 0.500 0.753
```

Summary:
Energy of formation from the pure elements (eV/atom): 0.27
Volume (Å³/atom): 22.40